Material: RbPt2O
Method: DFT, PBE
State: optimized geometry

```
RbPt2O
1.0
-1.174 4.910 2.225
-4.993 -1.849 1.446
-0.865 -0.331 7.114
O Rb Pt
2 2 4
Direct
0.500 0.500 0.000
0.250 0.750 0.500
0.000 0.000 0.000
0.750 0.250 0.500
0.375 0.125 0.250
0.375 0.625 0.250
0.375 0.625 0.750
0.875 0.625 0.750
```

## Properties
For the magnetization, the calculation gives 0.0 Bohr magnetons per cell. Its crystal system is tetragonal. The uncorrected formation energy comes out at -0.2613 eV/atom. The calculation puts the density of states at the Fermi level at 0.5 states/eV/f.u.

---

Material: Rb2PtO4
Method: DFT, PBE
State: optimized geometry

```
Rb2PtO4
1.0
-0.409 0.157 -5.989
1.257 -5.713 -1.361
-4.935 1.718 3.955
Rb Pt O
2 1 4
Direct
0.250 0.750 0.500
0.750 0.250 0.500
0.000 0.000 0.000
0.798 0.798 0.000
0.202 0.202 0.000
0.201 0.201 0.403
0.799 0.799 0.597
```

## Properties
For the magnetization, the calculation gives 2.0 Bohr magnetons per cell. Its crystal system is orthorhombic. The uncorrected formation energy comes out at -0.8036 eV/atom. The calculation puts the density of states at the Fermi level at 3.4 states/eV/f.u.

---

Material: Rb2PtO6
Method: DFT, PBE
State: optimized geometry

```
Rb2PtO6
1.0
-2.780 1.768 1.306
0.912 -3.166 6.229
2.239 6.396 -1.063
Rb Pt O
2 1 6
Direct
0.545 0.690 0.380
0.455 0.310 0.620
0.000 0.000 0.000
0.097 0.309 0.241
0.903 0.068 0.759
0.903 0.691 0.759
0.500 0.180 0.000
0.097 0.932 0.241
0.500 0.820 0.000
```

## Properties
For the magnetization, the calculation gives 0.0 Bohr magnetons per cell. Its crystal system is monoclinic. The uncorrected formation energy comes out at -0.2896 eV/atom.

---

Material: Rb4PtO5
Method: DFT, PBE
State: optimized geometry

```
Rb4PtO5
1.0
-0.404 3.926 4.177
-6.247 1.367 2.064
0.214 -2.432 6.260
Rb Pt O
4 1 5
Direct
0.405 0.401 0.812
0.805 0.812 0.599
0.216 0.188 0.401
0.617 0.599 0.188
0.048 0.000 0.000
0.940 0.287 0.851
0.227 0.851 0.713
0.791 0.149 0.287
0.078 0.713 0.149
0.384 0.000 0.000
```

## Properties
For the magnetization, the calculation gives 2.0 Bohr magnetons per cell. Its crystal system is tetragonal. The uncorrected formation energy comes out at -0.9366 eV/atom. The calculation puts the density of states at the Fermi level at 6.2 states/eV/f.u.

---

Material: Rb2PtO
Method: DFT, PBE
State: optimized geometry

```
Rb2PtO
1.0
-6.657 3.045 -9.405
-3.987 -11.203 -0.804
-6.823 -3.631 -3.898
O Rb Pt
2 4 2
Direct
0.500 0.500 0.000
0.250 0.750 0.500
0.392 0.125 0.250
0.358 0.625 0.250
0.375 0.608 0.750
0.875 0.642 0.750
0.000 0.000 0.000
0.750 0.250 0.500
```

## Properties
For the magnetization, the calculation gives 0.6 Bohr magnetons per cell. Its crystal system is tetragonal. The uncorrected formation energy comes out at -0.5974 eV/atom. The calculation puts the density of states at the Fermi level at 2.7 states/eV/f.u.

---

Material: Rb3PtO6
Method: DFT, PBE
State: optimized geometry

```
Rb3PtO6
1.0
6.690 -0.017 -0.012
3.187 5.670 0.027
3.187 1.920 5.335
Rb Pt O
3 1 6
Direct
0.264 0.243 0.243
0.736 0.757 0.757
0.000 0.000 0.000
0.500 0.500 0.500
0.341 0.250 0.670
0.659 0.330 0.750
0.659 0.750 0.330
0.341 0.670 0.250
0.231 0.700 0.700
0.769 0.300 0.300
```

## Properties
For the magnetization, the calculation gives 5.0 Bohr magnetons per cell. Its crystal system is monoclinic. The uncorrected formation energy comes out at -0.6755 eV/atom. The calculation puts the density of states at the Fermi level at 7.8 states/eV/f.u.

---

Material: RbPtO4
Method: DFT, PBE
State: optimized geometry

```
RbPtO4
1.0
7.771 -2.635 -0.009
-0.933 6.722 3.417
-1.156 1.314 5.548
Rb Pt O
2 2 8
Direct
0.750 0.393 0.214
0.250 0.607 0.786
0.250 0.044 0.911
0.750 0.956 0.089
0.893 0.269 0.883
0.181 0.160 0.489
0.607 0.848 0.883
0.319 0.352 0.489
0.681 0.648 0.511
0.393 0.152 0.117
0.819 0.840 0.511
0.107 0.731 0.117
```

## Properties
For the magnetization, the calculation gives 2.1 Bohr magnetons per cell. Its crystal system is monoclinic. The uncorrected formation energy comes out at -0.4034 eV/atom. The calculation puts the density of states at the Fermi level at 0.7 states/eV/f.u.

---

Material: Rb4PtO2
Method: DFT, PBE
State: optimized geometry

```
Rb4PtO2
1.0
5.270 0.000 0.000
2.635 4.564 0.000
2.635 1.521 7.558
Rb Pt O
4 1 2
Direct
0.389 0.389 0.832
0.211 0.211 0.366
0.789 0.789 0.634
0.611 0.611 0.168
0.000 0.000 0.000
0.092 0.092 0.723
0.908 0.908 0.277
```

## Properties
For the magnetization, the calculation gives 0.0 Bohr magnetons per cell. Its crystal system is trigonal. The uncorrected formation energy comes out at -0.7574 eV/atom.

---

In eV/atom, the uncorrected energy values for the records above are, in order, -4.76 -4.78 -4.48 -4.41 -3.83 -4.54 -4.88 -3.59.